Entry from the Alexandria database: a relaxed structure of Ba2CaTe2 (PBE-GGA).

Computed properties:
Formation energy from raw total energies ... -1.04 eV/atom
Offset from the most stable computed form ... 306 meV/atom
SG ... I4/mmm (139)
Spin magnetization ... 0.00 μB/f.u.

Cell: 6.949 6.949 7.744 Å, 63.34 63.34 90.00°
Fractional positions:
Ba  0.250  0.750  0.500
Ba  0.750  0.250  0.500
Te  0.255  0.255  0.491
Te  0.745  0.745  0.509
Ca  0.000  0.000  0.000